## A
SrOsBr2 | the Alexandria database | PBE-GGA | optimized geometry; V = 28.7 A^3/atom; mass density = 6.3 g/cm³; space group = C2/m, No. 12
1.0
3.5426 -4.4820 0.0000
3.5426 4.4820 0.0000
-3.5242 0.0000 3.6091
Sr Os Br
1 1 2
Cartesian
0.0000 0.0000 0.0000
3.5426 0.0000 0.0000
0.0092 2.2410 1.8045
0.0092 -2.2410 1.8045

## B
SrOsBr2 | the Alexandria database | PBE-GGA | optimized geometry; V = 30.1 A^3/atom; mass density = 6.0 g/cm³; space group = R-3m, No. 166
1.0
1.9928 1.1505 8.7623
-1.9928 1.1505 8.7623
0.0000 -2.3011 8.7623
Sr Os Br
1 1 2
Cartesian
0.0000 0.0000 0.0000
0.0000 0.0000 13.1434
0.0000 0.0000 3.1925
0.0000 0.0000 23.0943

## C
SrOsBr2 | the Alexandria database | PBE-GGA | optimized geometry; V = 21.9 A^3/atom; mass density = 8.3 g/cm³; space group = P4/mmm, No. 123
1.0
4.9048 0.0000 0.0000
0.0000 4.9048 0.0000
0.0000 0.0000 3.6440
Sr Os Br
1 1 2
Cartesian
0.0000 0.0000 0.0000
2.4524 2.4524 0.0000
0.0000 2.4524 1.8220
2.4524 0.0000 1.8220

## D
SrOsBr2 | the Alexandria database | PBE-GGA | optimized geometry; V = 28.2 A^3/atom; mass density = 6.4 g/cm³; space group = F-43m, No. 216
1.0
0.0000 3.8342 3.8342
3.8342 0.0000 3.8342
3.8342 3.8342 0.0000
Sr Os Br
1 1 2
Cartesian
0.0000 0.0000 0.0000
5.7513 5.7513 5.7513
1.9171 1.9171 1.9171
3.8342 3.8342 3.8342

Going by the computed energies, the most stable comes first: A, C, B, D.

## A
SrOsBr2 | the Alexandria database | PBE-GGA | optimized geometry; V = 39.5 A^3/atom; mass density = 4.6 g/cm³; space group = R-3m, No. 166
1.0
2.1446 1.2382 9.9188
-2.1446 1.2382 9.9188
0.0000 -2.4764 9.9188
Sr Os Br
1 1 2
Cartesian
0.0000 0.0000 0.0000
0.0000 0.0000 14.8782
0.0000 0.0000 8.1809
0.0000 0.0000 21.5754

## B
SrOsBr2 | the Alexandria database | PBE-GGA | optimized geometry; V = 35.8 A^3/atom; mass density = 5.1 g/cm³; space group = C2/m, No. 12
1.0
7.2330 -2.0451 0.0000
7.2330 2.0451 0.0000
-0.3377 0.0000 4.8381
Sr Os Br
1 1 2
Cartesian
0.0000 0.0000 0.0000
7.0642 0.0000 2.4190
4.9659 0.0000 1.2263
9.1624 0.0000 3.6117

Going by the computed energies, the most stable comes first: B, A.

## A
SrOsBr2 | the Alexandria database | PBE-GGA | optimized geometry; V = 25.2 A^3/atom; mass density = 7.2 g/cm³; space group = Pmmm, No. 47
1.0
3.5188 0.0000 0.0000
0.0000 4.6383 0.0000
0.0000 0.0000 6.1846
Sr Os Br
1 1 2
Cartesian
0.0000 0.0000 0.0000
1.7594 0.0000 3.0923
0.0000 2.3192 3.0923
1.7594 2.3192 0.0000

## B
SrOsBr2 | the Alexandria database | PBE-GGA | optimized geometry; V = 28.5 A^3/atom; mass density = 6.4 g/cm³; space group = Pm, No. 6
1.0
3.7813 0.0000 0.0000
0.0000 4.5436 0.0000
-1.8520 0.0000 6.6460
Sr Os Br
1 1 2
Cartesian
0.0000 0.0000 0.0000
0.0395 2.2718 5.0075
0.0397 0.0000 4.1596
1.8899 2.2718 1.2457

Going by the computed energies, the most stable comes first: B, A.

## A
SrOsBr2 | the Alexandria database | PBE-GGA | optimized geometry; V = 25.7 A^3/atom; mass density = 7.1 g/cm³; space group = I-4m2, No. 119
1.0
-2.0724 2.0724 5.9750
2.0724 -2.0724 5.9750
2.0724 2.0724 -5.9750
Sr Os Br
1 1 2
Cartesian
0.0000 0.0000 0.0000
0.0000 2.0724 2.9875
2.0724 0.0000 2.9875
0.0000 0.0000 5.9750

## B
SrOsBr2 | the Alexandria database | PBE-GGA | optimized geometry; V = 27.0 A^3/atom; mass density = 6.7 g/cm³; space group = Pmm2, No. 25
1.0
3.4580 0.0000 0.0000
0.0000 3.6600 0.0000
0.0000 0.0000 8.5315
Sr Os Br
1 1 2
Cartesian
0.0000 0.0000 0.0000
1.7290 1.8300 2.4145
0.0000 0.0000 3.1365
1.7290 1.8300 6.7316

Going by the computed energies, the most stable comes first: B, A.

## A
SrOsBr2 | the Alexandria database | PBE-GGA | optimized geometry; V = 26.1 A^3/atom; mass density = 7.0 g/cm³; space group = Fm-3m, No. 225
1.0
0.0000 3.7378 3.7378
3.7378 0.0000 3.7378
3.7378 3.7378 0.0000
Sr Os Br
1 1 2
Cartesian
0.0000 0.0000 0.0000
3.7378 3.7378 3.7378
1.8689 1.8689 1.8689
5.6068 5.6068 5.6068

## B
SrOsBr2 | the Alexandria database | PBE-GGA | optimized geometry; V = 28.3 A^3/atom; mass density = 6.4 g/cm³; space group = Imm2, No. 44
1.0
-1.7021 2.0897 7.9565
1.7021 -2.0897 7.9565
1.7021 2.0897 -7.9565
Sr Os Br
1 1 2
Cartesian
0.0000 0.0000 0.0000
0.0000 2.0897 5.3622
1.7021 0.0000 5.3249
0.0000 0.0000 9.4652

Going by the computed energies, the most stable comes first: B, A.

## A
SrOsBr2 | the Alexandria database | PBE-GGA | optimized geometry; V = 27.7 A^3/atom; mass density = 6.6 g/cm³; space group = I-42d, No. 122
1.0
-2.6054 2.6054 8.1691
2.6054 -2.6054 8.1691
2.6054 2.6054 -8.1691
Sr Os Br
2 2 4
Cartesian
0.0000 0.0000 0.0000
0.0000 2.6054 4.0845
2.6054 0.0000 4.0845
0.0000 0.0000 8.1691
1.3027 -0.9048 6.1268
1.7006 1.3027 2.0423
1.3027 3.5101 -2.0423
0.9048 1.3027 10.2114

## B
SrOsBr2 | the Alexandria database | PBE-GGA | optimized geometry; V = 29.3 A^3/atom; mass density = 6.2 g/cm³; space group = Immm, No. 71
1.0
-1.9184 2.5759 5.9212
1.9184 -2.5759 5.9212
1.9184 2.5759 -5.9212
Sr Os Br
1 1 2
Cartesian
0.0000 0.0000 0.0000
0.0000 0.0000 5.9212
1.9184 0.0000 4.2236
0.0000 2.5759 1.6975

## C
SrOsBr2 | the Alexandria database | PBE-GGA | optimized geometry; V = 39.4 A^3/atom; mass density = 4.6 g/cm³; space group = R-3m, No. 166
1.0
2.5586 1.4772 6.9523
-2.5586 1.4772 6.9523
0.0000 -2.9544 6.9523
Sr Os Br
1 1 2
Cartesian
0.0000 0.0000 0.0000
0.0000 0.0000 10.4285
0.0000 0.0000 8.0032
0.0000 0.0000 12.8537

## D
SrOsBr2 | the Alexandria database | PBE-GGA | optimized geometry; V = 25.7 A^3/atom; mass density = 7.1 g/cm³; space group = Cmmm, No. 65
1.0
3.2620 -3.8690 0.0000
3.2620 3.8690 0.0000
0.0000 0.0000 4.0691
Sr Os Br
1 1 2
Cartesian
0.0000 0.0000 0.0000
3.2620 0.0000 0.0000
3.2620 1.5212 2.0346
3.2620 -1.5212 2.0346

Going by the computed energies, the most stable comes first: B, D, A, C.

## A
SrOs3Br | the Alexandria database | PBE-GGA | optimized geometry; V = 20.6 A^3/atom; mass density = 11.9 g/cm³; space group = Pm-3m, No. 221
1.0
4.6860 0.0000 0.0000
0.0000 4.6860 0.0000
0.0000 0.0000 4.6860
Sr Os Br
1 3 1
Cartesian
0.0000 0.0000 0.0000
0.0000 2.3430 2.3430
2.3430 0.0000 2.3430
2.3430 2.3430 0.0000
2.3430 2.3430 2.3430

## B
SrOs3Br | the Alexandria database | PBE-GGA | optimized geometry; V = 27.1 A^3/atom; mass density = 9.0 g/cm³; space group = Pm-3m, No. 221
1.0
5.1363 0.0000 0.0000
0.0000 5.1363 0.0000
0.0000 0.0000 5.1363
Sr Os Br
1 3 1
Cartesian
0.0000 0.0000 0.0000
0.0000 0.0000 2.5681
0.0000 2.5681 0.0000
2.5681 0.0000 0.0000
2.5681 2.5681 2.5681

Going by the computed energies, the most stable comes first: A, B.

## A
TaOsBr2 | the Alexandria database | PBE-GGA | optimized geometry; V = 24.0 A^3/atom; mass density = 9.2 g/cm³; space group = R3m, No. 160
1.0
1.7209 0.9936 9.3601
-1.7209 0.9936 9.3601
0.0000 -1.9872 9.3601
Ta Os Br
1 1 2
Cartesian
0.0000 0.0000 0.0000
0.0000 0.0000 7.8137
0.0000 0.0000 15.0603
0.0000 0.0000 20.7359

## B
TaOsBr2 | the Alexandria database | PBE-GGA | optimized geometry; V = 25.3 A^3/atom; mass density = 8.7 g/cm³; space group = Imm2, No. 44
1.0
-1.6394 2.6088 5.9149
1.6394 -2.6088 5.9149
1.6394 2.6088 -5.9149
Ta Os Br
1 1 2
Cartesian
0.0000 0.0000 0.0000
0.0000 2.6088 4.1625
1.6394 0.0000 2.3215
0.0000 0.0000 5.8948

## C
TaOsBr2 | the Alexandria database | PBE-GGA | optimized geometry; V = 18.4 A^3/atom; mass density = 12.0 g/cm³; space group = I4/mmm, No. 139
1.0
-2.1170 2.1170 4.1063
2.1170 -2.1170 4.1063
2.1170 2.1170 -4.1063
Ta Os Br
1 1 2
Cartesian
0.0000 0.0000 0.0000
0.0000 0.0000 4.1063
2.1170 0.0000 2.0531
0.0000 2.1170 2.0531

## D
TaOsBr2 | the Alexandria database | PBE-GGA | optimized geometry; V = 26.2 A^3/atom; mass density = 8.4 g/cm³; space group = Immm, No. 71
1.0
-1.5897 2.1530 7.6583
1.5897 -2.1530 7.6583
1.5897 2.1530 -7.6583
Ta Os Br
1 1 2
Cartesian
0.0000 0.0000 0.0000
0.0000 0.0000 7.6583
1.5897 0.0000 2.2419
0.0000 2.1530 5.4164

Going by the computed energies, the most stable comes first: A, D, B, C.

## A
TaOsBr2 | the Alexandria database | PBE-GGA | optimized geometry; V = 25.8 A^3/atom; mass density = 8.6 g/cm³; space group = C2/m, No. 12
1.0
7.5865 -1.6452 0.0000
7.5865 1.6452 0.0000
-0.2161 0.0000 4.1282
Ta Os Br
1 1 2
Cartesian
0.0000 0.0000 0.0000
7.4785 0.0000 2.0641
5.2376 0.0000 3.2348
9.7193 0.0000 0.8935

## B
TaOsBr2 | the Alexandria database | PBE-GGA | optimized geometry; V = 24.1 A^3/atom; mass density = 9.1 g/cm³; space group = Pm, No. 6
1.0
3.4376 0.0000 0.0000
0.0000 3.0885 0.0000
-0.0813 0.0000 9.0808
Ta Os Br
1 1 2
Cartesian
0.0000 0.0000 0.0000
1.6373 1.5443 7.7252
0.0022 1.5443 2.1202
1.6404 0.0000 5.5947

## C
TaOsBr2 | the Alexandria database | PBE-GGA | optimized geometry; V = 18.7 A^3/atom; mass density = 11.8 g/cm³; space group = R-3m, No. 166
1.0
1.5682 0.9054 8.7607
-1.5682 0.9054 8.7607
0.0000 -1.8108 8.7607
Ta Os Br
1 1 2
Cartesian
0.0000 0.0000 0.0000
0.0000 0.0000 13.1411
0.0000 0.0000 10.7229
0.0000 0.0000 15.5592

Going by the computed energies, the most stable comes first: B, A, C.

## A
TaOsBr2 | the Alexandria database | PBE-GGA | optimized geometry; V = 17.6 A^3/atom; mass density = 12.5 g/cm³; space group = P2/m, No. 10
1.0
4.6729 0.0000 0.0000
0.0000 3.0867 0.0000
-1.9594 0.0000 4.8920
Ta Os Br
1 1 2
Cartesian
0.0000 0.0000 0.0000
-0.9797 1.5434 2.4460
1.3567 0.0000 2.4460
2.3365 1.5434 0.0000

## B
TaOsBr2 | the Alexandria database | PBE-GGA | optimized geometry; V = 18.5 A^3/atom; mass density = 11.9 g/cm³; space group = I-4m2, No. 119
1.0
-2.5841 2.5841 2.7642
2.5841 -2.5841 2.7642
2.5841 2.5841 -2.7642
Ta Os Br
1 1 2
Cartesian
0.0000 0.0000 0.0000
2.5841 0.0000 1.3821
0.0000 0.0000 2.7642
0.0000 2.5841 1.3821

Going by the computed energies, the most stable comes first: A, B.

## A
TaOs2Br | the Alexandria database | PBE-GGA | optimized geometry; V = 23.0 A^3/atom; mass density = 11.6 g/cm³; space group = I-42d, No. 122
1.0
-2.8432 2.8432 5.6912
2.8432 -2.8432 5.6912
2.8432 2.8432 -5.6912
Ta Os Br
2 4 2
Cartesian
0.0000 0.0000 0.0000
0.0000 2.8432 2.8456
1.4216 -1.3363 4.2684
1.5069 1.4216 1.4228
1.4216 4.1795 -1.4228
1.3363 1.4216 7.1141
2.8432 0.0000 2.8456
0.0000 0.0000 5.6912

## B
TaOs2Br | the Alexandria database | PBE-GGA | optimized geometry; V = 16.1 A^3/atom; mass density = 16.6 g/cm³; space group = Pmmm, No. 47
1.0
2.9485 0.0000 0.0000
0.0000 4.6068 0.0000
0.0000 0.0000 4.7333
Ta Os Br
1 2 1
Cartesian
0.0000 0.0000 0.0000
0.0000 2.3034 2.3666
1.4742 2.3034 0.0000
1.4742 0.0000 2.3666

Going by the computed energies, the most stable comes first: B, A.